Computed, not measured: a relaxed structure of Nd2ReN6 at the PBE-GGA level of DFT.

The volume is 16.5 A^3/atom. The formation energy (no corrections) is 0.338 eV/atom. For the total energy, the calculation gives -137.8 eV per cell.

Cell and atoms, written as POSCAR:
```
Nd2ReN6
1.0
5.323 0.000 0.000
0.000 5.323 0.000
0.000 0.000 10.471
Nd Re N
4 2 12
Direct
0.000 0.000 0.176
0.000 0.000 0.824
0.500 0.500 0.324
0.500 0.500 0.676
0.000 0.000 0.500
0.500 0.500 0.000
0.183 0.183 0.365
0.183 0.183 0.635
0.235 0.235 0.000
0.265 0.735 0.500
0.317 0.683 0.135
0.317 0.683 0.865
0.683 0.317 0.135
0.683 0.317 0.865
0.735 0.265 0.500
0.765 0.765 0.000
0.817 0.817 0.365
0.817 0.817 0.635
```